No. 1
Density functional theory data (GGA-PBE) for HfCrIn after structural relaxation.

Lattice parameters (Å, degrees): 5.379 5.597 9.233 81.95 73.06 61.28
Sites, in units of the cell vectors:
Hf (0.843, 0.314, 0.000)
Cr (0.872, 0.000, 0.255)
Cr (0.878, 0.500, 0.245)
Cr (0.128, 0.000, 0.745)
Hf (0.157, 0.686, 0.000)
In (0.165, 0.500, 0.670)
In (0.415, 0.000, 0.170)
Hf (0.907, 0.186, 0.500)
In (0.585, 0.000, 0.830)
Hf (0.593, 0.814, 0.500)
Cr (0.622, 0.500, 0.755)
In (0.335, 0.500, 0.330)

Energy of formation from the pure elements ... 291 meV per atom
Space-group type ... No. 70

---

No. 2
Density functional theory data (GGA-PBE) for InGaSbTe2 after structural relaxation.

Lattice parameters (Å, degrees): 5.776 5.776 5.583 90.00 90.00 90.00
Sites, in units of the cell vectors:
Ga (0.500, 0.500, 0.500)
Sb (0.000, 0.000, 0.500)
Te (0.500, 0.000, 0.000)
In (0.000, 0.000, 0.000)
Te (0.000, 0.500, 0.000)

ΔE_f (raw) ... 2.4 eV per formula unit
Energy above the lowest structure with this stoichiometry ... 0.213 eV per atom
Space-group type ... No. 123

---

No. 3
Density functional theory data (GGA-PBE) for ZrCdAs after structural relaxation.

Lattice parameters (Å, degrees): 4.594 4.594 4.594 60.00 60.00 60.00
Sites, in units of the cell vectors:
As (0.750, 0.750, 0.750)
Cd (0.000, 0.000, 0.000)
Zr (0.500, 0.500, 0.500)

Energy above the lowest structure with this stoichiometry ... 0.582 eV per atom
Energy of formation from the pure elements ... -31 meV per atom
Space-group type ... No. 216

---

No. 4
Density functional theory data (GGA-PBE) for Ce2SiGe3Pd4 after structural relaxation.

Lattice parameters (Å, degrees): 4.341 4.341 9.988 90.00 90.00 90.00
Sites, in units of the cell vectors:
Ce (0.500, 0.000, 0.254)
Pd (0.500, 0.000, 0.619)
Ge (0.000, 0.000, 0.500)
Ge (0.000, 0.500, 0.133)
Ge (0.500, 0.000, 0.867)
Pd (0.000, 0.500, 0.381)
Ce (0.000, 0.500, 0.746)
Pd (0.000, 0.000, 0.000)
Pd (0.500, 0.500, 0.000)
Si (0.500, 0.500, 0.500)

ΔE_f (raw) ... -8.0 eV per formula unit
Space-group type ... No. 115

---

No. 5
Density functional theory data (GGA-PBE) for NaTbGa2Cl6 after structural relaxation.

Lattice parameters (Å, degrees): 7.094 7.664 10.365 90.00 88.21 90.00
Sites, in units of the cell vectors:
Na (0.500, 0.000, 0.000)
Ga (0.518, 0.574, 0.775)
Tb (0.500, 0.000, 0.500)
Ga (0.018, 0.926, 0.275)
Cl (0.628, 0.050, 0.258)
Cl (0.872, 0.550, 0.242)
Ga (0.482, 0.426, 0.225)
Cl (0.323, 0.711, 0.427)
Cl (0.372, 0.950, 0.742)
Cl (0.177, 0.211, 0.073)
Cl (0.686, 0.322, 0.955)
Cl (0.823, 0.789, 0.927)
Cl (0.814, 0.822, 0.545)
Na (0.000, 0.500, 0.500)
Tb (0.000, 0.500, 0.000)
Cl (0.677, 0.289, 0.573)
Cl (0.314, 0.678, 0.045)
Cl (0.186, 0.178, 0.455)
Cl (0.128, 0.450, 0.758)
Ga (0.982, 0.074, 0.725)

ΔE_f (raw) ... -15.6 eV per formula unit
Space-group type ... No. 14

---

No. 6
Density functional theory data (GGA-PBE) for Cd2FeTe after structural relaxation.

Lattice parameters (Å, degrees): 10.725 10.725 10.725 16.67 16.67 16.67
Sites, in units of the cell vectors:
Fe (0.250, 0.250, 0.250)
Cd (0.516, 0.516, 0.516)
Te (0.750, 0.750, 0.750)
Cd (0.984, 0.984, 0.984)

ΔE_f (raw) ... 1.5 eV per formula unit
Space-group type ... No. 166

---

No. 7
Density functional theory data (GGA-PBE) for Mg3Zn8Ag after structural relaxation.

Lattice parameters (Å, degrees): 5.199 5.199 8.390 90.00 90.00 120.00
Sites, in units of the cell vectors:
Zn (0.333, 0.667, 0.999)
Mg (0.667, 0.333, 0.065)
Zn (0.163, 0.837, 0.250)
Zn (0.504, 0.008, 0.750)
Zn (0.674, 0.837, 0.250)
Zn (0.504, 0.496, 0.750)
Mg (0.000, 0.000, 0.933)
Mg (0.667, 0.333, 0.442)
Zn (0.992, 0.496, 0.750)
Ag (0.000, 0.000, 0.563)
Zn (0.163, 0.326, 0.250)
Zn (0.333, 0.667, 0.500)

Energy above the lowest structure with this stoichiometry ... 0.000 eV per atom
Energy of formation from the pure elements ... -108 meV per atom
Space-group type ... No. 156

---

No. 8
Density functional theory data (GGA-PBE) for BaCa3Pt after structural relaxation.

Lattice parameters (Å, degrees): 5.758 5.758 7.221 113.49 113.49 90.00
Sites, in units of the cell vectors:
Pt (0.364, 0.364, 0.728)
Ca (0.852, 0.352, 0.705)
Ca (0.598, 0.598, 0.197)
Ca (0.352, 0.852, 0.705)
Ba (0.106, 0.106, 0.211)

Energy above the lowest structure with this stoichiometry ... 0.000 eV per atom
Energy of formation from the pure elements ... -461 meV per atom
Space-group type ... No. 107

---

No. 9
Density functional theory data (GGA-PBE) for Mg2TePdAu after structural relaxation.

Lattice parameters (Å, degrees): 4.981 5.433 4.981 90.00 90.00 90.00
Sites, in units of the cell vectors:
Pd (0.500, 0.500, 0.500)
Mg (0.500, 0.000, 0.000)
Te (0.000, 0.500, 0.000)
Au (0.000, 0.000, 0.000)
Mg (0.000, 0.000, 0.500)

ΔE_f (raw) ... 1.3 eV per formula unit
Space-group type ... No. 123

---

No. 10
Density functional theory data (GGA-PBE) for Bi2AsP after structural relaxation.

Lattice parameters (Å, degrees): 6.815 6.815 7.812 64.14 64.14 90.00
Sites, in units of the cell vectors:
Bi (0.610, 0.125, 0.250)
P (0.250, 0.750, 0.500)
P (0.500, 0.500, 0.000)
Bi (0.375, 0.390, 0.750)
As (0.000, 0.000, 0.000)
Bi (0.140, 0.625, 0.250)
As (0.750, 0.250, 0.500)
Bi (0.875, 0.860, 0.750)

Energy above the lowest structure with this stoichiometry ... 0.195 eV per atom
Energy of formation from the pure elements ... 283 meV per atom
Space-group type ... No. 122

---

No. 11
Density functional theory data (GGA-PBE) for Cs2LiCdW after structural relaxation.

Lattice parameters (Å, degrees): 6.999 5.447 6.999 90.00 90.00 90.00
Sites, in units of the cell vectors:
Cs (0.500, 0.000, 0.000)
Cd (0.500, 0.500, 0.500)
W (0.000, 0.000, 0.000)
Cs (0.000, 0.000, 0.500)
Li (0.000, 0.500, 0.000)

Energy of formation from the pure elements ... 1341 meV per atom
Space-group type ... No. 123

---

No. 12
Density functional theory data (GGA-PBE) for SnBiNO2 after structural relaxation.

Lattice parameters (Å, degrees): 4.273 4.273 4.355 90.00 90.00 90.00
Sites, in units of the cell vectors:
Sn (0.500, 0.500, 0.500)
N (0.000, 0.000, 0.500)
O (0.500, 0.000, 0.000)
Bi (0.000, 0.000, 0.000)
O (0.000, 0.500, 0.000)

ΔE_f (raw) ... 0.1 eV per formula unit
Space-group type ... No. 123

---

| no. | total magnetization (μB/f.u.) | final energy (eV/atom) | mass density (kg/m3) |
| --- | --- | --- | --- |
| 1 | 1.7 | -7.147 | 9835 |
| 2 | 0.5 | -2.764 | 5006 |
| 3 | 0.0 | -4.735 | 6747 |
| 4 | 1.2 | -5.988 | 8399 |
| 5 | 0.0 | -3.870 | 3149 |
| 6 | 2.8 | -2.991 | 7653 |
| 7 | 0.0 | -1.594 | 5953 |
| 8 | 0.0 | -3.255 | 3801 |
| 9 | 0.0 | -2.708 | 5908 |
| 10 | 0.0 | -4.172 | 6093 |
| 11 | 5.0 | -2.157 | 3541 |
| 12 | 0.1 | -5.202 | 7805 |